Entry 1:
5
Lattice="5.188 0.000 0.000 0.000 5.188 0.000 0.000 0.000 5.188" Properties=species:S:1:pos:R:3 comment="Sr3HPd | Alexandria | GGA-PBE | relaxed" crystal_system=cubic de_polymorph_ev_per_atom=0.0995 space_group="Pm-3m (221)" pbc="T T T"
Sr 0.000 0.000 2.594
Sr 0.000 2.594 0.000
Sr 2.594 0.000 0.000
H 0.000 0.000 0.000
Pd 2.594 2.594 2.594



Entry 2:
20
Lattice="4.018 2.320 3.328 -4.018 2.320 3.328 0.000 -4.639 3.328" Properties=species:S:1:pos:R:3 comment="SrH12Pd7 | Alexandria | GGA-PBE | relaxed" crystal_system=trigonal space_group="R-3 (148)" dft_energy_ev_per_atom=-4.02 pbc="T T T"
Sr 0.000 0.000 0.000
H -1.462 -2.815 4.424
H -3.169 -0.142 5.560
H -1.453 -0.268 3.882
H -1.707 2.674 4.424
H 0.958 -1.124 3.882
H -0.494 -1.392 6.102
H 0.494 1.392 3.882
H -0.958 1.124 6.102
H 1.707 -2.674 5.560
H 1.453 0.268 6.102
H 3.169 0.142 4.424
H 1.462 2.815 5.560
Pd -0.670 -1.649 2.787
Pd -1.093 1.405 2.787
Pd -1.763 -0.244 7.198
Pd 0.000 0.000 4.992
Pd 1.763 0.244 2.787
Pd 1.093 -1.405 7.198
Pd 0.670 1.649 7.198



Entry 3:
6
Lattice="3.743 0.000 0.000 0.000 3.824 0.000 0.000 0.000 8.237" Properties=species:S:1:pos:R:3 comment="SrHPd | Alexandria | GGA-PBE | relaxed" crystal_system=orthorhombic de_polymorph_ev_per_atom=0.1358 space_group="Pmmn (59)" pbc="T T T"
Sr 0.936 0.956 1.676
Sr 2.808 2.868 6.561
H 0.936 0.956 7.342
H 2.808 2.868 0.895
Pd 0.936 2.868 4.114
Pd 2.808 0.956 4.124



Entry 4:
80
Lattice="-6.614 6.614 6.614 6.614 -6.614 6.614 6.614 6.614 -6.614" Properties=species:S:1:pos:R:3 comment="Sr5H12Pd3 | Alexandria | GGA-PBE | relaxed" crystal_system=cubic space_group="Ia-3d (230)" dft_energy_ev_per_atom=-3.54 pbc="T T T"
Sr 0.000 0.000 0.000
Sr 3.307 3.307 -3.307
Sr 3.307 -3.307 3.307
Sr 6.614 0.000 0.000
Sr 9.921 1.653 0.000
Sr 6.614 -3.307 4.960
Sr 4.960 6.614 -3.307
Sr 4.960 0.000 3.307
Sr 3.307 4.960 0.000
Sr 6.614 3.307 1.653
Sr -3.307 3.307 3.307
Sr 0.000 6.614 0.000
Sr 0.000 0.000 6.614
Sr 3.307 3.307 3.307
Sr 0.000 3.307 4.960
Sr 3.307 1.653 6.614
Sr 1.653 6.614 3.307
Sr 1.653 0.000 9.921
Sr 0.000 9.921 1.653
Sr -3.307 4.960 6.614
H 5.599 -2.480 2.864
H 10.936 -0.442 0.827
H 5.599 4.134 -2.864
H 4.322 0.442 0.827
H 7.056 5.787 -4.322
H 2.864 -1.015 2.480
H 2.480 2.864 -1.015
H 7.441 2.292 -0.442
H 4.134 -2.864 5.599
H 5.787 -4.322 7.056
H 2.864 5.599 -2.480
H 7.056 0.827 2.292
H 7.056 -0.827 4.322
H 9.478 1.015 2.480
H 4.134 2.864 1.015
H 5.787 4.322 -0.442
H 0.827 4.322 0.442
H 9.094 3.749 1.015
H 0.442 0.827 4.322
H 2.864 1.015 4.134
H -1.015 2.480 2.864
H 4.322 -0.442 5.787
H 4.322 7.056 -0.827
H 5.599 2.480 3.749
H 1.015 4.134 2.864
H 2.292 -0.442 7.441
H 2.292 7.056 0.827
H 7.629 4.134 3.749
H 3.749 5.599 2.480
H 6.171 5.787 2.292
H -2.480 2.864 5.599
H 5.787 2.292 6.171
H 0.827 2.292 7.056
H 2.480 3.749 5.599
H -2.864 5.599 4.134
H -0.442 7.441 2.292
H -0.442 5.787 4.322
H 3.749 1.015 9.094
H 0.827 10.936 -0.442
H 2.480 9.478 1.015
H -0.827 4.322 7.056
H 4.134 3.749 7.629
H 3.749 7.629 4.134
H -0.442 0.827 10.936
H 2.292 6.171 5.787
H 1.015 2.480 9.478
H -4.322 7.056 5.787
H 1.015 9.094 3.749
Pd 3.307 1.653 0.000
Pd 6.614 3.307 -1.653
Pd 1.653 0.000 3.307
Pd 8.267 0.000 3.307
Pd 0.000 3.307 1.653
Pd 3.307 -1.653 6.614
Pd 3.307 8.267 0.000
Pd 6.614 3.307 4.960
Pd -1.653 6.614 3.307
Pd 4.960 6.614 3.307
Pd 0.000 3.307 8.267
Pd 3.307 4.960 6.614



Entry 5:
5
Lattice="3.824 0.000 0.000 0.000 3.824 0.000 0.000 0.000 4.502" Properties=species:S:1:pos:R:3 comment="SrH3Pd | Alexandria | GGA-PBE | relaxed" crystal_system=tetragonal space_group="P4mm (99)" dft_energy_ev_per_atom=-3.37 pbc="T T T"
Sr 0.000 0.000 0.000
H 0.000 0.000 2.290
H 0.000 1.912 1.560
H 1.912 0.000 1.560
Pd 1.912 1.912 1.670



Entry 6:
11
Lattice="7.201 -3.819 0.000 7.201 3.819 0.000 -0.022 0.000 7.871" Properties=species:S:1:pos:R:3 comment="Sr8HPd2 | Alexandria | GGA-PBE | relaxed" crystal_system=monoclinic space_group="C2/m (12)" dft_energy_ev_per_atom=-2.75 pbc="T T T"
Sr 6.660 1.997 5.911
Sr 2.940 0.000 6.966
Sr 7.719 1.997 1.960
Sr 4.244 0.000 3.078
Sr 10.135 0.000 4.792
Sr 6.660 -1.997 5.911
Sr 11.439 0.000 0.905
Sr 7.719 -1.997 1.960
H 0.000 0.000 0.000
Pd 1.449 0.000 4.309
Pd 12.930 0.000 3.562



Entry 7:
5
Lattice="4.267 0.000 0.000 0.000 4.267 0.000 0.000 0.000 4.267" Properties=species:S:1:pos:R:3 comment="SrHPd3 | Alexandria | GGA-PBE | relaxed" crystal_system=cubic de_polymorph_ev_per_atom=0.0000 space_group="Pm-3m (221)" pbc="T T T"
Sr 0.000 0.000 0.000
H 2.134 2.134 2.134
Pd 0.000 2.134 2.134
Pd 2.134 0.000 2.134
Pd 2.134 2.134 0.000



Entry 8:
10
Lattice="4.282 0.000 0.000 -2.141 3.708 0.000 0.000 0.000 7.543" Properties=species:S:1:pos:R:3 comment="SrH3Pd | Alexandria | GGA-PBE | relaxed" crystal_system=hexagonal space_group="P6_3/mmc (194)" dft_energy_ev_per_atom=-3.47 pbc="T T T"
Sr 0.000 2.472 1.886
Sr 2.141 1.236 5.657
H 0.000 0.000 1.886
H 0.000 0.000 5.657
H 0.000 2.472 4.377
H 0.000 2.472 6.937
H 2.141 1.236 0.605
H 2.141 1.236 3.166
Pd 0.000 0.000 0.000
Pd 0.000 0.000 3.771



Entry 9:
10
Lattice="3.850 0.000 0.000 0.000 5.332 0.000 -1.801 0.000 6.142" Properties=species:S:1:pos:R:3 comment="SrH3Pd | Alexandria | GGA-PBE | relaxed" crystal_system=monoclinic space_group="P2_1 (4)" dft_energy_ev_per_atom=-3.87 pbc="T T T"
Sr 0.005 0.000 1.554
Sr 2.044 2.666 4.588
H -0.001 2.673 1.230
H 0.122 4.068 3.712
H 0.120 1.326 5.948
H 1.929 3.992 0.195
H 1.927 1.402 2.430
H 2.049 0.007 4.912
Pd 0.119 5.272 4.939
Pd 1.930 2.606 1.203



Entry 10:
10
Lattice="8.683 0.000 0.000 0.000 4.089 0.000 -2.635 0.000 8.304" Properties=species:S:1:pos:R:3 comment="Sr3HPd | Alexandria | GGA-PBE | relaxed" crystal_system=monoclinic de_polymorph_ev_per_atom=0.0000 space_group="P2/m (10)" pbc="T T T"
Sr -0.318 0.000 2.549
Sr 2.512 0.000 0.458
Sr 1.278 2.045 5.438
Sr 4.770 2.045 2.866
Sr 3.536 0.000 7.846
Sr 6.365 0.000 5.755
H -1.318 2.045 4.152
H 4.341 2.045 0.000
Pd 0.000 2.045 0.000
Pd 3.024 0.000 4.152



Entry 11:
19
Lattice="4.683 2.704 2.259 -4.683 2.704 2.259 0.000 -5.408 2.259" Properties=species:S:1:pos:R:3 comment="SrH12Pd6 | Alexandria | GGA-PBE | relaxed" crystal_system=trigonal space_group="R-3m (166)" dft_energy_ev_per_atom=-3.93 pbc="T T T"
Sr 0.000 0.000 0.000
H -1.790 -3.100 3.388
H -3.579 0.000 3.388
H -1.257 -0.725 2.589
H 1.257 -0.725 2.589
H 0.000 1.451 2.589
H 1.790 -3.100 3.388
H -1.790 3.100 3.388
H 0.000 -1.451 4.187
H -1.257 0.725 4.187
H 1.257 0.725 4.187
H 3.579 0.000 3.388
H 1.790 3.100 3.388
Pd 0.000 -2.109 2.422
Pd -1.826 1.055 2.422
Pd -1.826 -1.055 4.354
Pd 1.826 1.055 2.422
Pd 1.826 -1.055 4.354
Pd 0.000 2.109 4.354



Entry 12:
6
Lattice="3.730 0.000 0.000 0.000 3.730 0.000 0.000 0.000 7.787" Properties=species:S:1:pos:R:3 comment="SrHPd | Alexandria | GGA-PBE | relaxed" crystal_system=tetragonal de_polymorph_ev_per_atom=0.0000 space_group="P4_2/mmc (131)" pbc="T T T"
Sr 0.000 0.000 1.947
Sr 0.000 0.000 5.840
H 0.000 1.865 0.000
H 1.865 0.000 3.893
Pd 1.865 1.865 0.000
Pd 1.865 1.865 3.893



Entry 13:
5
Lattice="3.834 0.000 0.000 0.000 3.834 0.000 0.000 0.000 3.834" Properties=species:S:1:pos:R:3 comment="SrH3Pd | Alexandria | GGA-PBE | relaxed" crystal_system=cubic space_group="Pm-3m (221)" dft_energy_ev_per_atom=-3.92 pbc="T T T"
Sr 0.000 0.000 0.000
H 0.000 1.917 1.917
H 1.917 0.000 1.917
H 1.917 1.917 0.000
Pd 1.917 1.917 1.917



Entry 14:
12
Lattice="3.836 -4.288 0.000 3.836 4.288 0.000 0.000 0.000 5.420" Properties=species:S:1:pos:R:3 comment="SrH3Pd2 | Alexandria | GGA-PBE | relaxed" crystal_system=orthorhombic space_group="Cmcm (63)" dft_energy_ev_per_atom=-4.09 pbc="T T T"
Sr 3.836 2.600 4.065
Sr 3.836 -2.600 1.355
H 1.361 0.483 4.065
H 1.361 -0.483 1.355
H 3.836 0.031 1.355
H 3.836 -0.031 4.065
H 6.311 0.483 4.065
H 6.311 -0.483 1.355
Pd 2.411 0.000 0.000
Pd 2.411 0.000 2.710
Pd 5.261 0.000 0.000
Pd 5.261 0.000 2.710



Entry 15:
20
Lattice="3.730 -5.912 0.000 3.730 5.912 0.000 0.000 0.000 5.574" Properties=species:S:1:pos:R:3 comment="SrH3Pd | Alexandria | GGA-PBE | relaxed" crystal_system=orthorhombic space_group="Cmce (64)" dft_energy_ev_per_atom=-3.84 pbc="T T T"
Sr 1.865 1.389 1.393
Sr 1.865 -1.389 4.180
Sr 5.596 1.389 1.393
Sr 5.596 -1.389 4.180
H 3.730 5.722 1.737
H 1.865 1.749 4.180
H 3.730 3.140 2.942
H 3.730 2.772 0.155
H 1.865 -1.749 1.393
H 3.730 0.190 4.524
H 3.730 -0.190 1.050
H 5.596 1.749 4.180
H 3.730 -2.772 5.419
H 3.730 -3.140 2.632
H 5.596 -1.749 1.393
H 3.730 -5.722 3.837
Pd 3.730 4.115 1.284
Pd 3.730 1.797 4.071
Pd 3.730 -1.797 1.503
Pd 3.730 -4.115 4.290



Entry 16:
20
Lattice="0.000 4.968 4.968 4.968 0.000 4.968 4.968 4.968 0.000" Properties=species:S:1:pos:R:3 comment="SrH3Pd | Alexandria | GGA-PBE | relaxed" crystal_system=cubic space_group="Fd-3m (227)" dft_energy_ev_per_atom=-3.59 pbc="T T T"
Sr 0.000 0.000 0.000
Sr 2.484 2.484 0.000
Sr 2.484 0.000 2.484
Sr 0.000 2.484 2.484
H 3.726 3.726 1.900
H 3.726 1.900 3.726
H 5.553 3.726 3.726
H 6.210 6.210 4.384
H 6.210 4.384 6.210
H 8.037 6.210 6.210
H 1.900 3.726 3.726
H 3.726 5.553 3.726
H 3.726 3.726 5.553
H 4.384 6.210 6.210
H 6.210 8.037 6.210
H 6.210 6.210 8.037
Pd 4.968 2.484 2.484
Pd 2.484 4.968 2.484
Pd 2.484 2.484 4.968
Pd 4.968 4.968 4.968



Entry 17:
5
Lattice="6.105 0.000 0.000 0.000 6.105 0.000 0.000 0.000 3.372" Properties=species:S:1:pos:R:3 comment="Sr2TaHPd | Alexandria | GGA-PBE | relaxed" crystal_system=tetragonal space_group="P4/mmm (123)" dft_energy_ev_per_atom=-4.16 pbc="T T T"
Sr 0.000 3.053 0.000
Sr 3.053 0.000 0.000
Ta 0.000 0.000 1.686
H 3.053 3.053 1.686
Pd 3.053 3.053 0.000



Entry 18:
5
Lattice="4.127 0.000 0.000 0.000 4.127 0.000 0.000 0.000 5.944" Properties=species:S:1:pos:R:3 comment="SrTcH2Pd | Alexandria | GGA-PBE | relaxed" crystal_system=tetragonal space_group="P4/mmm (123)" dft_energy_ev_per_atom=-3.85 pbc="T T T"
Sr 0.000 0.000 0.000
Tc 2.063 2.063 2.972
H 0.000 2.063 0.000
H 2.063 0.000 0.000
Pd 0.000 0.000 2.972



Entry 19:
5
Lattice="5.496 0.000 0.000 0.000 5.496 0.000 0.000 0.000 3.960" Properties=species:S:1:pos:R:3 comment="Sr2TeHPd | Alexandria | GGA-PBE | relaxed" crystal_system=tetragonal de_polymorph_ev_per_atom=0.0000 space_group="P4/mmm (123)" pbc="T T T"
Sr 0.000 2.748 0.000
Sr 2.748 0.000 0.000
Te 0.000 0.000 1.980
H 2.748 2.748 0.000
Pd 2.748 2.748 1.980



Magnetization readings, ordered: 0.00 0.00 0.00 0.00 0.00 0.00 0.00 0.00 0.00 0.00 0.00 0.00 0.00 0.00 0.00 0.00 2.34 4.44 0.00 Bohr magnetons per cell